1 | Entry from Alexandria: a relaxed structure of ZrCo2NiH (PBE-GGA).

Lattice parameters (Å, degrees): 3.697 3.697 4.012 90.00 90.00 90.00
Space group P4/mmm (No. 123)
Inequivalent atoms, fractional coordinates:
Zr  0.000  0.000  0.000 (multiplicity 1)
Co  0.000  0.500  0.500 (multiplicity 2)
Ni  0.500  0.500  0.000 (multiplicity 1)
H  0.000  0.000  0.500 (multiplicity 1)

---

2 | Entry from Alexandria: a relaxed structure of ZrCo2NiH (PBE-GGA).

Lattice parameters (Å, degrees): 3.806 3.806 3.706 90.00 90.00 90.00
Space group P4/mmm (No. 123)
Inequivalent atoms, fractional coordinates:
Zr  0.000  0.000  0.000 (multiplicity 1)
Co  0.000  0.500  0.500 (multiplicity 2)
Ni  0.500  0.500  0.000 (multiplicity 1)
H  0.500  0.500  0.500 (multiplicity 1)

---

Most stable to least stable, the ends of the list are 2 and 1.